Record 1
Crystalline LiInFe2 at its relaxed geometry. Source: the Alexandria database, functional GGA-PBE.

The space group is P2/m (No. 10) and the conventional cell measures 2.672, 4.388 and 5.080 Å, with angles of 90.00, 102.79 and 90.00 degrees. The inequivalent atoms are Li at (0.000, 0.000, 0.000), In at (0.500, 0.000, 0.500) and Fe at (0.221, 0.500, 0.769).

The final energy is -20.58 eV/cell. Its calculated formation energy is 250 meV/atom.

Record 2
Crystalline LiInFe2 at its relaxed geometry. Source: the Alexandria database, functional GGA-PBE.

The space group is R-3m (No. 166, hexagonal axes) and the conventional cell measures 2.7945, 2.7945 and 27.4697 Å, with angles of 90.00, 90.00 and 120.00 degrees. The inequivalent atoms are Li at (0.0000, 0.0000, 0.0000), In at (0.0000, 0.0000, 0.5000) and Fe at (0.0000, 0.0000, 0.2514).

The final energy is -58.90 eV/cell. Its calculated formation energy is 486 meV/atom.

Record 3
Crystalline LiIn2Fe at its relaxed geometry. Source: the Alexandria database, functional GGA-PBE.

The space group is Pmmm (No. 47) and the conventional cell measures 3.136, 3.512 and 6.314 Å, with angles of 90.00, 90.00 and 90.00 degrees. The inequivalent atoms are Li at (0.000, 0.000, 0.000), In at (0.500, 0.500, 0.258) and Fe at (0.000, 0.000, 0.500).

The final energy is -15.74 eV/cell. Its calculated formation energy is 29 meV/atom.

Record 4
Crystalline LiInFe3 at its relaxed geometry. Source: the Alexandria database, functional GGA-PBE.

The space group is Pm-3m (No. 221) and the conventional cell measures 4.135, 4.135 and 4.135 Å, with angles of 90.00, 90.00 and 90.00 degrees. The inequivalent atoms are Li at (0.000, 0.000, 0.000), In at (0.500, 0.500, 0.500) and Fe at (0.000, 0.000, 0.500).

The final energy is -26.01 eV/cell. Its calculated formation energy is 806 meV/atom.

Record 5
Crystalline Li3InFe at its relaxed geometry. Source: the Alexandria database, functional GGA-PBE.

The space group is Pm-3m (No. 221) and the conventional cell measures 4.726, 4.726 and 4.726 Å, with angles of 90.00, 90.00 and 90.00 degrees. The inequivalent atoms are Li at (0.000, 0.000, 0.500), In at (0.500, 0.500, 0.500) and Fe at (0.000, 0.000, 0.000).

The final energy is -13.99 eV/cell. Its calculated formation energy is 591 meV/atom.

Record 6
Crystalline LiIn2Fe2 at its relaxed geometry. Source: the Alexandria database, functional GGA-PBE.

The space group is P4/mbm (No. 127) and the conventional cell measures 7.786, 7.786 and 2.881 Å, with angles of 90.00, 90.00 and 90.00 degrees. The inequivalent atoms are Li at (0.000, 0.000, 0.000), In at (0.185, 0.315, 0.500) and Fe at (0.108, 0.608, 0.000).

The final energy is -47.13 eV/cell. Its calculated formation energy is 150 meV/atom.

Record 7
Crystalline LiIn2Fe at its relaxed geometry. Source: the Alexandria database, functional GGA-PBE.

The space group is R-3m (No. 166, hexagonal axes) and the conventional cell measures 3.1179, 3.1179 and 27.3195 Å, with angles of 90.00, 90.00 and 120.00 degrees. The inequivalent atoms are Li at (0.0000, 0.0000, 0.0000), In at (0.0000, 0.0000, 0.2459) and Fe at (0.0000, 0.0000, 0.5000).

The final energy is -45.42 eV/cell. Its calculated formation energy is 178 meV/atom.

Record 8
Crystalline LiInFe2 at its relaxed geometry. Source: the Alexandria database, functional GGA-PBE.

The space group is P4mm (No. 99) and the conventional cell measures 3.067, 3.067 and 6.394 Å, with angles of 90.00, 90.00 and 90.00 degrees. The inequivalent atoms are Li at (0.000, 0.000, 0.000), In at (0.500, 0.500, 0.711), Fe at (0.000, 0.000, 0.422) and Fe at (0.500, 0.500, 0.254).

The final energy is -21.11 eV/cell. Its calculated formation energy is 118 meV/atom.